# PBE CuHgSe2, optimized geometry
data_CuHgSe2
_space_group_name_H-M_alt 'I 4/m c m'
_space_group_IT_number 140
_space_group_name_Hall '-I 4 2c'
_cell_length_a 6.8568
_cell_length_b 6.8568
_cell_length_c 7.1583
_cell_angle_alpha 90.00
_cell_angle_beta 90.00
_cell_angle_gamma 90.00
loop_
_atom_site_label
_atom_site_fract_x
_atom_site_fract_y
_atom_site_fract_z
_atom_site_occupancy
Cu1 0.0000 0.0000 0.2500 1
Hg1 0.0000 0.5000 0.2500 1
Se1 0.2113 0.2887 0.0000 1
# total energy: -2.48 eV per atom
# Fermi-level density of states: 9.54 states/eV per cell
# raw formation energy: 359 meV/atom

---

# PBE TbPaNb4, optimized geometry
data_TbPaNb4
_space_group_name_H-M_alt 'F -4 3 m'
_space_group_IT_number 216
_space_group_name_Hall 'F -4 2 3'
_cell_length_a 8.0402
_cell_length_b 8.0402
_cell_length_c 8.0402
_cell_angle_alpha 90.00
_cell_angle_beta 90.00
_cell_angle_gamma 90.00
loop_
_atom_site_label
_atom_site_fract_x
_atom_site_fract_y
_atom_site_fract_z
_atom_site_occupancy
Tb1 0.0000 0.0000 0.0000 1
Pa1 0.2500 0.2500 0.2500 1
Nb1 0.1245 0.1245 0.6245 1
# total energy: -8.91 eV per atom
# E_form: 0.155 eV per atom
# Fermi-level density of states: 32.91 states/eV per cell

---

# PBE LiPSe2, optimized geometry
data_LiPSe2
_space_group_name_H-M_alt 'C m m m'
_space_group_IT_number 65
_space_group_name_Hall '-C 2 2'
_cell_length_a 3.4604
_cell_length_b 9.1502
_cell_length_c 7.3071
_cell_angle_alpha 90.00
_cell_angle_beta 90.00
_cell_angle_gamma 90.00
loop_
_atom_site_label
_atom_site_fract_x
_atom_site_fract_y
_atom_site_fract_z
_atom_site_occupancy
Li1 0.0000 0.0000 0.0000 1
P1 0.0000 0.0000 0.5000 1
Se1 0.0000 0.5000 0.2683 1
# total energy: -3.69 eV per atom
# Fermi-level density of states: 3.41 states/eV per cell
# raw formation energy: -119 meV/atom

---

# PBE AlNi2Pt3, optimized geometry
data_AlNi2Pt3
_space_group_name_H-M_alt 'C m m m'
_space_group_IT_number 65
_space_group_name_Hall '-C 2 2'
_cell_length_a 3.9177
_cell_length_b 11.7766
_cell_length_c 7.1703
_cell_angle_alpha 90.00
_cell_angle_beta 90.00
_cell_angle_gamma 90.00
loop_
_atom_site_label
_atom_site_fract_x
_atom_site_fract_y
_atom_site_fract_z
_atom_site_occupancy
Al1 0.0000 0.1554 0.0000 1
Ni1 0.0000 0.1713 0.5000 1
Ni2 0.0000 0.5000 0.0000 1
Ni3 0.0000 0.5000 0.5000 1
Pt1 0.0000 0.0000 0.2573 1
Pt2 0.0000 0.3324 0.2433 1
# total energy: -6.04 eV per atom
# E_form: -0.466 eV per atom
# Fermi-level density of states: 32.29 states/eV per cell

---

# PBE AlSiF2, optimized geometry
data_AlSiF2
_space_group_name_H-M_alt 'F m -3 m'
_space_group_IT_number 225
_space_group_name_Hall '-F 4 2 3'
_cell_length_a 6.1194
_cell_length_b 6.1194
_cell_length_c 6.1194
_cell_angle_alpha 90.00
_cell_angle_beta 90.00
_cell_angle_gamma 90.00
loop_
_atom_site_label
_atom_site_fract_x
_atom_site_fract_y
_atom_site_fract_z
_atom_site_occupancy
Al1 0.0000 0.0000 0.0000 1
Si1 0.0000 0.0000 0.5000 1
F1 0.2500 0.2500 0.2500 1
# total energy: -3.88 eV per atom
# excess energy over the best structure of this formula in the dataset: 3.10 eV/f.u.
# Fermi-level density of states: 7.81 states/eV per cell
# raw formation energy: -649 meV/atom

---

# PBE VCdH, optimized geometry
data_VCdH
_space_group_name_H-M_alt 'I m m a'
_space_group_IT_number 74
_space_group_name_Hall '-I 2b 2'
_cell_length_a 4.9218
_cell_length_b 6.1466
_cell_length_c 4.9293
_cell_angle_alpha 90.00
_cell_angle_beta 90.00
_cell_angle_gamma 90.00
loop_
_atom_site_label
_atom_site_fract_x
_atom_site_fract_y
_atom_site_fract_z
_atom_site_occupancy
V1 0.0000 0.2500 0.0009 1
Cd1 0.0000 0.0000 0.5000 1
H1 0.2500 0.2500 0.7500 1
# total energy: -4.04 eV per atom
# excess energy over the best structure of this formula in the dataset: 1.35 eV/f.u.
# Fermi-level density of states: 9.04 states/eV per cell

---

| no. | V (Å³/atom) | mass density (Mg/m³) |
| --- | --- | --- |
| 1 | 21.0 | 8.3 |
| 2 | 21.7 | 9.7 |
| 3 | 28.9 | 2.8 |
| 4 | 13.8 | 14.6 |
| 5 | 14.3 | 2.7 |
| 6 | 12.4 | 7.3 |